# Sr2MgVO5 (GGA+U, optimized geometry)
data_Sr2MgVO5
_chemical_formula_sum 'Sr8 Mg4 V4 O20'
_symmetry_space_group_name_H-M 'C m c 21'
_symmetry_Int_Tables_number 36
_cell_length_a 3.3865
_cell_length_b 13.3607
_cell_length_c 10.7870
_cell_angle_alpha 90.00
_cell_angle_beta 90.00
_cell_angle_gamma 90.00
loop_
_symmetry_equiv_pos_as_xyz
'x,y,z'
'-x,-y,z+1/2'
'-x,y,z'
'x,-y,z+1/2'
'x+1/2,y+1/2,z'
'-x+1/2,-y+1/2,z+1/2'
'-x+1/2,y+1/2,z'
'x+1/2,-y+1/2,z+1/2'
loop_
_atom_site_label
_atom_site_type_symbol
_atom_site_fract_x
_atom_site_fract_y
_atom_site_fract_z
_atom_site_occupancy
Sr1 Sr 0.0000 0.1069 0.0000 1
Sr2 Sr 0.0000 0.1579 0.6342 1
Mg1 Mg 0.0000 0.2098 0.3520 1
V1 V 0.0000 0.4702 0.7724 1
O1 O 0.0000 0.0485 0.3538 1
O2 O 0.0000 0.2832 0.9811 1
O3 O 0.0000 0.3273 0.7277 1
O4 O 0.0000 0.3786 0.3261 1
O5 O 0.0000 0.4923 0.1160 1
# magnetic moment	0.11	μB/atom
# raw total energy	-6.62	eV per atom